(1)
The following is a DFT calculation (GGA-PBE) of a relaxed structure of Li2CaCd2.

Properties
Density ... 4.0 Mg/m³
Total magnetization ... 0.000 μB per atom
Energy ... -1.70 eV/atom
E_form ... -16.6 kJ per mole of atoms
Calculated volume ... 23.20 A^3/atom
DOS at the Fermi energy ... 5.45 states/eV/cell
Energy relative to the lowest polymorph listed for this composition ... 0.052 eV per atom

Cell: 8.332 8.332 3.343 Å, 90.00 90.00 90.00°
Sites, in units of the cell vectors:
Li: 0.336 0.164 0.500
Li: 0.836 0.336 0.500
Li: 0.664 0.836 0.500
Li: 0.164 0.664 0.500
Ca: 0.000 0.000 0.000
Ca: 0.500 0.500 0.000
Cd: 0.629 0.129 0.000
Cd: 0.871 0.629 0.000
Cd: 0.371 0.871 0.000
Cd: 0.129 0.371 0.000



(2)
The following is a DFT calculation (GGA-PBE) of a relaxed structure of Li9Ca3Cd2.

Properties
Density ... 2.0 Mg/m³
Total magnetization ... 0.000 μB per atom
Energy ... -1.87 eV/atom
E_form ... -7.5 kJ per mole of atoms
Calculated volume ... 24.25 A^3/atom
DOS at the Fermi energy ... 8.53 states/eV/cell

Cell: 4.840 8.910 8.910 Å, 69.36 74.24 74.24°
Sites, in units of the cell vectors:
Li: 0.880 0.395 0.845
Li: 0.320 0.325 0.036
Li: 0.320 0.036 0.325
Li: 0.120 0.605 0.155
Li: 0.680 0.964 0.675
Li: 0.000 0.500 0.500
Li: 0.680 0.675 0.964
Li: 0.880 0.845 0.395
Li: 0.120 0.155 0.605
Cd: 0.500 0.724 0.276
Cd: 0.500 0.276 0.724
Ca: 0.680 0.320 0.320
Ca: 0.000 0.000 0.000
Ca: 0.320 0.680 0.680



(3)
The following is a DFT calculation (GGA-PBE) of a relaxed structure of LiCaCd.

Properties
Density ... 2.7 Mg/m³
Total magnetization ... 0.000 μB per atom
Energy ... -1.41 eV/atom
E_form ... 19.3 kJ per mole of atoms
Calculated volume ... 32.95 A^3/atom
DOS at the Fermi energy ... 2.25 states/eV/cell
Energy relative to the lowest polymorph listed for this composition ... 0.448 eV per atom

Cell: 5.190 5.190 5.190 Å, 60.00 60.00 60.00°
Sites, in units of the cell vectors:
Ca: 0.250 0.250 0.250
Li: 0.500 0.500 0.500
Cd: 0.000 0.000 0.000



(4)
The following is a DFT calculation (GGA-PBE) of a relaxed structure of Li12Ca5Cd2.

Properties
Density ... 1.7 Mg/m³
Total magnetization ... 0.000 μB per atom
Energy ... -1.86 eV/atom
E_form ... -2.3 kJ per mole of atoms
Calculated volume ... 25.73 A^3/atom
DOS at the Fermi energy ... 12.39 states/eV/cell

Cell: 7.553 8.075 8.977 Å, 63.27 88.49 90.00°
Sites, in units of the cell vectors:
Li: 0.086 0.083 0.834
Li: 0.766 0.934 0.740
Li: 0.667 0.599 0.195
Li: 0.329 0.450 0.101
Li: 0.667 0.206 0.195
Li: 0.234 0.674 0.260
Li: 0.766 0.326 0.740
Li: 0.333 0.401 0.805
Li: 0.333 0.794 0.805
Li: 0.234 0.066 0.260
Li: 0.671 0.550 0.899
Li: 0.914 0.917 0.166
Cd: 0.000 0.315 0.000
Cd: 0.000 0.685 0.000
Ca: 0.444 0.242 0.517
Ca: 0.964 0.300 0.400
Ca: 0.036 0.700 0.600
Ca: 0.556 0.758 0.483
Ca: 0.500 0.000 0.000



(5)
The following is a DFT calculation (GGA-PBE) of a relaxed structure of LiCa2Cd2.

Properties
Density ... 3.3 Mg/m³
Total magnetization ... 0.000 μB per atom
Energy ... -1.57 eV/atom
E_form ... -2.4 kJ per mole of atoms
Calculated volume ... 31.72 A^3/atom
DOS at the Fermi energy ... 4.39 states/eV/cell
Energy relative to the lowest polymorph listed for this composition ... 0.238 eV per atom

Cell: 4.223 4.223 9.380 Å, 76.99 76.99 90.00°
Sites, in units of the cell vectors:
Ca: 0.395 0.395 0.210
Ca: 0.605 0.605 0.790
Li: 0.000 0.000 0.000
Cd: 0.250 0.750 0.500
Cd: 0.750 0.250 0.500



(6)
The following is a DFT calculation (GGA-PBE) of a relaxed structure of LiCa2Cd2.

Properties
Density ... 3.1 Mg/m³
Total magnetization ... 0.000 μB per atom
Energy ... -1.54 eV/atom
E_form ... 1.3 kJ per mole of atoms
Calculated volume ... 33.52 A^3/atom
DOS at the Fermi energy ... 2.84 states/eV/cell
Energy relative to the lowest polymorph listed for this composition ... 0.276 eV per atom

Cell: 4.951 4.951 7.680 Å, 71.20 71.20 90.00°
Sites, in units of the cell vectors:
Li: 0.000 0.000 0.000
Cd: 0.399 0.399 0.201
Cd: 0.601 0.601 0.799
Ca: 0.750 0.250 0.500
Ca: 0.250 0.750 0.500



(7)
The following is a DFT calculation (GGA-PBE) of a relaxed structure of Li4Ca5Cd4.

Properties
Density ... 3.1 Mg/m³
Total magnetization ... 0.000 μB per atom
Energy ... -1.87 eV/atom
E_form ... -21.7 kJ per mole of atoms
Calculated volume ... 27.56 A^3/atom
DOS at the Fermi energy ... 7.54 states/eV/cell

Cell: 4.526 9.180 9.180 Å, 86.52 75.73 75.73°
Sites, in units of the cell vectors:
Li: 0.100 0.469 0.331
Li: 0.900 0.531 0.669
Li: 0.569 0.331 0.531
Li: 0.431 0.669 0.469
Ca: 0.632 0.662 0.075
Ca: 0.293 0.075 0.338
Ca: 0.707 0.925 0.662
Ca: 0.000 0.000 0.000
Ca: 0.368 0.338 0.925
Cd: 0.743 0.312 0.202
Cd: 0.257 0.688 0.798
Cd: 0.055 0.202 0.688
Cd: 0.945 0.798 0.312



(8)
The following is a DFT calculation (GGA-PBE) of a relaxed structure of Li3Ca6Cd.

Properties
Density ... 1.9 Mg/m³
Total magnetization ... 0.000 μB per atom
Energy ... -1.91 eV/atom
E_form ... -3.8 kJ per mole of atoms
Calculated volume ... 32.78 A^3/atom
DOS at the Fermi energy ... 19.43 states/eV/cell

Cell: 5.631 9.797 12.357 Å, 105.93 90.00 90.00°
Sites, in units of the cell vectors:
Ca: 0.750 0.362 0.329
Ca: 0.750 0.900 0.116
Ca: 0.250 0.483 0.101
Ca: 0.250 0.638 0.671
Ca: 0.750 0.769 0.498
Ca: 0.250 0.100 0.884
Ca: 0.250 0.231 0.502
Ca: 0.750 0.517 0.899
Ca: 0.250 0.851 0.325
Ca: 0.250 0.145 0.190
Ca: 0.750 0.855 0.810
Ca: 0.750 0.149 0.675
Li: 0.750 0.629 0.218
Li: 0.750 0.458 0.611
Li: 0.250 0.371 0.782
Li: 0.250 0.542 0.389
Li: 0.250 0.761 0.970
Li: 0.750 0.239 0.030
Cd: 0.750 0.054 0.385
Cd: 0.250 0.946 0.615